An optimized crystal structure of Ac2CuSi3Pt12, computed with PBE.

Results
Space group: R-3m (166)
Uncorrected formation energy (eV per atom): -0.509
Volume (Å³/atom): 20.41
Calculated total energy (eV per cell): -110.236

Cell lengths 7.821, 7.821, 7.821 Å; angles 63.89, 63.89, 63.89 degrees
Sites, in units of the cell vectors:
1 Ac 0.120 0.120 0.120
2 Ac 0.880 0.880 0.880
3 Cu 0.500 0.500 0.500
4 Si 0.000 0.500 0.500
5 Si 0.500 0.000 0.500
6 Si 0.500 0.500 0.000
7 Pt 0.134 0.619 0.619
8 Pt 0.148 0.148 0.603
9 Pt 0.148 0.603 0.148
10 Pt 0.381 0.381 0.866
11 Pt 0.381 0.866 0.381
12 Pt 0.397 0.852 0.852
13 Pt 0.603 0.148 0.148
14 Pt 0.619 0.134 0.619
15 Pt 0.619 0.619 0.134
16 Pt 0.852 0.397 0.852
17 Pt 0.852 0.852 0.397
18 Pt 0.866 0.381 0.381